1.
CeP3Pd3: optimized geometry, PBE.

Calculated values
Formation energy from the elements (eV per atom): -0.70
Size of the total moment (μB per atom): 0.000

a = 6.8692 Å, b = 6.8692 Å, c = 7.7520 Å
α = 63.70°, β = 63.70°, γ = 60.00°
Fractional positions:
Ce 0.3325 0.3325 0.0024
Ce 0.6675 0.6675 0.9976
P 0.2512 0.5725 0.2625
P 0.9138 0.2512 0.2625
P 0.5725 0.9138 0.2625
P 0.4275 0.0862 0.7375
P 0.0862 0.7488 0.7375
P 0.7488 0.4275 0.7375
Pd 0.4429 0.8000 0.6310
Pd 0.8000 0.1261 0.6310
Pd 0.1261 0.4429 0.6310
Pd 0.8739 0.5571 0.3690
Pd 0.2000 0.8739 0.3690
Pd 0.5571 0.2000 0.3690



2.
AcMg4Rh: optimized geometry, PBE.

Calculated values
Formation energy from the elements (eV per atom): -0.31
Size of the total moment (μB per atom): 0.000

a = 4.3261 Å, b = 7.7055 Å, c = 8.7913 Å
α = 90.00°, β = 90.00°, γ = 90.00°
Fractional positions:
Ac 0.0000 0.5902 0.7500
Ac 0.0000 0.4098 0.2500
Mg 0.0000 0.0000 0.5000
Mg 0.0000 0.0000 0.0000
Mg 0.5000 0.9659 0.7500
Mg 0.5000 0.0341 0.2500
Mg 0.5000 0.7114 0.0649
Mg 0.5000 0.2886 0.9351
Mg 0.5000 0.7114 0.4351
Mg 0.5000 0.2886 0.5649
Rh 0.0000 0.2065 0.7500
Rh 0.0000 0.7935 0.2500